Compound: Hf2CoHRu
Source: Alexandria via LeMat-Bulk
Functional: PBE
Structure: optimized geometry

It has space group P4/mmm (No. 123), with a = 4.5160 Å, b = 4.5160 Å, c = 3.3242 Å, α = 90.00°, β = 90.00° and γ = 90.00°. The distinct sites, in fractional coordinates, are Hf at (0.0000, 0.5000, 0.0000), Co at (0.0000, 0.0000, 0.5000), H at (0.0000, 0.0000, 0.0000) and Ru at (0.5000, 0.5000, 0.5000).

The calculation puts the volume at 67.8 Å³/cell. The calculation puts the raw total energy at -42.15 eV/f.u.